No. 1
The following is a DFT calculation (SCAN) of a crystal of CsBi3F relaxed with PBEsol.

As for the density of states at the Fermi level: 2.24 states/eV per atom. The calculation puts the formation energy (no corrections) at 6.84 eV per formula unit.

The space group is Pm-3m (No. 221) and the conventional cell measures 6.238, 6.238 and 6.238 Å, with angles of 90.00, 90.00 and 90.00 degrees. Symmetry generates all atoms from Cs at (0.000, 0.000, 0.000), Bi at (0.000, 0.000, 0.500) and F at (0.500, 0.500, 0.500).

No. 2
The following is a DFT calculation (SCAN) of a crystal of Cs2BiHF relaxed with PBEsol.

The total DFT energy (no corrections) is -164.63 eV for the cell shown. As for the density of states at the Fermi level: 0.37 states/eV per atom.

The space group is P4/mmm (No. 123) and the conventional cell measures 6.088, 6.088 and 4.706 Å, with angles of 90.00, 90.00 and 90.00 degrees. Symmetry generates all atoms from Cs at (0.000, 0.500, 0.000), Bi at (0.000, 0.000, 0.500), H at (0.500, 0.500, 0.500) and F at (0.000, 0.000, 0.000).

No. 3
The following is a DFT calculation (SCAN) of a crystal of Cs2LiBiF6 relaxed with PBEsol.

As for the density of states at the Fermi level: 0.00 states/eV per atom. The calculation puts the formation energy (no corrections) at -27.80 eV per formula unit.

The space group is Fm-3m (No. 225) and the conventional cell measures 8.851, 8.851 and 8.851 Å, with angles of 90.00, 90.00 and 90.00 degrees. Symmetry generates all atoms from Cs at (0.250, 0.250, 0.250), Li at (0.000, 0.000, 0.000), Bi at (0.000, 0.000, 0.500) and F at (0.000, 0.000, 0.243).

No. 4
The following is a DFT calculation (SCAN) of a crystal of CsBiOF2 relaxed with PBEsol.

As for the excess energy over the best structure of this formula in the dataset: 1.690 eV per atom. As for the density of states at the Fermi level: 0.68 states/eV per atom. The calculation puts the formation energy (no corrections) at -1.93 eV per formula unit.

The space group is P4/mmm (No. 123) and the conventional cell measures 5.107, 5.107 and 4.338 Å, with angles of 90.00, 90.00 and 90.00 degrees. Symmetry generates all atoms from Cs at (0.000, 0.000, 0.000), Bi at (0.500, 0.500, 0.500), O at (0.000, 0.000, 0.500) and F at (0.000, 0.500, 0.000).

No. 5
The following is a DFT calculation (SCAN) of a crystal of CsBiOF2 relaxed with PBEsol.

As for the excess energy over the best structure of this formula in the dataset: 0.000 eV per atom. The calculation puts the formation energy (no corrections) at -10.38 eV per formula unit.

The space group is P4/mmm (No. 123) and the conventional cell measures 4.720, 4.720 and 4.470 Å, with angles of 90.00, 90.00 and 90.00 degrees. Symmetry generates all atoms from Cs at (0.000, 0.000, 0.000), Bi at (0.500, 0.500, 0.500), O at (0.500, 0.500, 0.000) and F at (0.000, 0.500, 0.500).

No. 6
The following is a DFT calculation (SCAN) of a crystal of CsRb2BiF6 relaxed with PBEsol.

As for the density of states at the Fermi level: 0.00 states/eV per atom. The calculation puts the formation energy (no corrections) at -26.26 eV per formula unit.

The space group is Fm-3m (No. 225) and the conventional cell measures 9.985, 9.985 and 9.985 Å, with angles of 90.00, 90.00 and 90.00 degrees. Symmetry generates all atoms from Cs at (0.000, 0.000, 0.000), Rb at (0.250, 0.250, 0.250), Bi at (0.000, 0.000, 0.500) and F at (0.000, 0.000, 0.275).

No. 7
The following is a DFT calculation (SCAN) of a crystal of Cs2RbBiF6 relaxed with PBEsol.

As for the density of states at the Fermi level: 0.00 states/eV per atom. The calculation puts the formation energy (no corrections) at -27.40 eV per formula unit.

The space group is Fm-3m (No. 225) and the conventional cell measures 9.762, 9.762 and 9.762 Å, with angles of 90.00, 90.00 and 90.00 degrees. Symmetry generates all atoms from Cs at (0.250, 0.250, 0.250), Rb at (0.000, 0.000, 0.000), Bi at (0.000, 0.000, 0.500) and F at (0.000, 0.000, 0.269).

No. 8
The following is a DFT calculation (SCAN) of a crystal of Cs2FeBiPb relaxed with PBEsol.

The value obtained for the formation energy is 3.02 eV per formula unit. As for the density of states at the Fermi level: 1.33 states/eV per atom.

The space group is P4/mmm (No. 123) and the conventional cell measures 7.401, 7.401 and 5.846 Å, with angles of 90.00, 90.00 and 90.00 degrees. Symmetry generates all atoms from Cs at (0.000, 0.500, 0.000), Fe at (0.000, 0.000, 0.500), Bi at (0.500, 0.500, 0.000) and Pb at (0.500, 0.500, 0.500).

No. 9
The following is a DFT calculation (SCAN) of a crystal of CsGa2Bi2 relaxed with PBEsol.

The value obtained for the formation energy is -1.23 eV per formula unit. As for the density of states at the Fermi level: 0.16 states/eV per atom.

The space group is I4/mmm (No. 139) and the conventional cell measures 4.715, 4.715 and 15.165 Å, with angles of 90.00, 90.00 and 90.00 degrees. Symmetry generates all atoms from Cs at (0.000, 0.000, 0.000), Ga at (0.000, 0.500, 0.250) and Bi at (0.000, 0.000, 0.358).

No. 10
The following is a DFT calculation (SCAN) of a crystal of CsGaBi2Te relaxed with PBEsol.

As for the density of states at the Fermi level: 1.10 states/eV per atom. The calculation puts the formation energy (no corrections) at 1.26 eV per formula unit.

The space group is P4/mmm (No. 123) and the conventional cell measures 5.934, 5.934 and 5.924 Å, with angles of 90.00, 90.00 and 90.00 degrees. Symmetry generates all atoms from Cs at (0.000, 0.000, 0.000), Ga at (0.500, 0.500, 0.000), Bi at (0.000, 0.500, 0.500) and Te at (0.500, 0.500, 0.500).

No. 11
The following is a DFT calculation (SCAN) of a crystal of CsGeBiS4 relaxed with PBEsol.

As for the density of states at the Fermi level: 0.00 states/eV per atom. The calculation puts the formation energy (no corrections) at -4.99 eV per formula unit.

The space group is P2_1/c (No. 14) and the conventional cell measures 6.544, 6.771 and 18.590 Å, with angles of 90.00, 108.21 and 90.00 degrees. Symmetry generates all atoms from Cs at (0.230, 0.245, 0.468), Ge at (0.290, 0.729, 0.335), Bi at (0.265, 0.218, 0.724), S at (0.078, 0.667, 0.218), S at (0.085, 0.741, 0.409), S at (0.470, 0.512, 0.643) and S at (0.494, 0.503, 0.848).

No. 12
The following is a DFT calculation (SCAN) of a crystal of Cs2BiHRu relaxed with PBEsol.

The total DFT energy (no corrections) is -189.36 eV for the cell shown. As for the density of states at the Fermi level: 0.60 states/eV per atom.

The space group is P4/mmm (No. 123) and the conventional cell measures 5.996, 5.996 and 5.087 Å, with angles of 90.00, 90.00 and 90.00 degrees. Symmetry generates all atoms from Cs at (0.000, 0.500, 0.000), Bi at (0.000, 0.000, 0.500), H at (0.500, 0.500, 0.500) and Ru at (0.000, 0.000, 0.000).

One value per record, in order, for M_tot: 0.28 1.00 0.00 0.00 0.00 0.00 0.00 3.45 0.00 0.00 0.00 0.00 μB per cell.